#1
A plane-wave DFT calculation with PBE was carried out for a relaxed LiHoCu crystal.

ρ: 5.97 g cm⁻³
space-group type: F-43m

```
data_LiHoCu
_cell_length_a 4.523
_cell_length_b 4.523
_cell_length_c 4.523
_cell_angle_alpha 60.00
_cell_angle_beta 60.00
_cell_angle_gamma 60.00
_space_group_name_H-M_alt 'P 1'
_space_group_IT_number 1
_space_group_name_Hall 'P 1'
loop_
_atom_site_label
_atom_site_type_symbol
_atom_site_fract_x
_atom_site_fract_y
_atom_site_fract_z
_atom_site_occupancy
Li1 Li 0.750 0.750 0.750 1
Ho1 Ho 0.250 0.250 0.250 1
Cu1 Cu 0.000 0.000 0.000 1
```

=====

#2
A plane-wave DFT calculation with PBE was carried out for a relaxed LiHoCu crystal.

ρ: 5.83 g cm⁻³
space-group type: F-43m

```
data_LiHoCu
_cell_length_a 4.560
_cell_length_b 4.560
_cell_length_c 4.560
_cell_angle_alpha 60.00
_cell_angle_beta 60.00
_cell_angle_gamma 60.00
_space_group_name_H-M_alt 'P 1'
_space_group_IT_number 1
_space_group_name_Hall 'P 1'
loop_
_atom_site_label
_atom_site_type_symbol
_atom_site_fract_x
_atom_site_fract_y
_atom_site_fract_z
_atom_site_occupancy
Cu1 Cu 0.250 0.250 0.250 1
Ho1 Ho 0.000 0.000 0.000 1
Li1 Li 0.750 0.750 0.750 1
```

=====

Stability summary - winner: #1; margin: 418 meV per atom.

=====

#1
A plane-wave DFT calculation with PBE was carried out for a relaxed HoLuCuTe3 crystal.

ρ: 8.26 g cm⁻³
space-group type: Cmcm

```
data_HoLuCuTe3
_cell_length_a 7.371
_cell_length_b 7.371
_cell_length_c 10.895
_cell_angle_alpha 90.00
_cell_angle_beta 90.00
_cell_angle_gamma 147.72
_space_group_name_H-M_alt 'P 1'
_space_group_IT_number 1
_space_group_name_Hall 'P 1'
loop_
_atom_site_label
_atom_site_type_symbol
_atom_site_fract_x
_atom_site_fract_y
_atom_site_fract_z
_atom_site_occupancy
Ho1 Ho 0.774 0.226 0.250 1
Lu1 Lu 0.000 0.000 0.500 1
Te1 Te 0.903 0.097 0.750 1
Ho2 Ho 0.226 0.774 0.750 1
Te2 Te 0.352 0.648 0.064 1
Cu1 Cu 0.529 0.471 0.750 1
Te3 Te 0.648 0.352 0.564 1
Cu2 Cu 0.471 0.529 0.250 1
Te4 Te 0.097 0.903 0.250 1
Lu2 Lu 0.000 0.000 0.000 1
Te5 Te 0.352 0.648 0.436 1
Te6 Te 0.648 0.352 0.936 1
```

=====

#2
A plane-wave DFT calculation with PBE was carried out for a relaxed HoLuCuTe3 crystal.

ρ: 8.26 g cm⁻³
space-group type: Cmcm

```
data_HoLuCuTe3
_cell_length_a 7.452
_cell_length_b 7.452
_cell_length_c 10.874
_cell_angle_alpha 90.00
_cell_angle_beta 90.00
_cell_angle_gamma 148.42
_space_group_name_H-M_alt 'P 1'
_space_group_IT_number 1
_space_group_name_Hall 'P 1'
loop_
_atom_site_label
_atom_site_type_symbol
_atom_site_fract_x
_atom_site_fract_y
_atom_site_fract_z
_atom_site_occupancy
Te1 Te 0.350 0.650 0.433 1
Te2 Te 0.898 0.102 0.750 1
Lu1 Lu 0.228 0.772 0.750 1
Ho1 Ho 0.000 0.000 0.000 1
Te3 Te 0.650 0.350 0.933 1
Te4 Te 0.650 0.350 0.567 1
Lu2 Lu 0.772 0.228 0.250 1
Te5 Te 0.102 0.898 0.250 1
Cu1 Cu 0.472 0.528 0.250 1
Te6 Te 0.350 0.650 0.067 1
Cu2 Cu 0.528 0.472 0.750 1
Ho2 Ho 0.000 0.000 0.500 1
```

=====

Stability summary - winner: #1; margin: 14 meV per atom.

=====

#1
A plane-wave DFT calculation with PBE was carried out for a relaxed NdHoCu4 crystal.

ρ: 9.06 g cm⁻³
space-group type: F-43m

```
data_NdHoCu4
_cell_length_a 5.266
_cell_length_b 5.266
_cell_length_c 5.266
_cell_angle_alpha 60.00
_cell_angle_beta 60.00
_cell_angle_gamma 60.00
_space_group_name_H-M_alt 'P 1'
_space_group_IT_number 1
_space_group_name_Hall 'P 1'
loop_
_atom_site_label
_atom_site_type_symbol
_atom_site_fract_x
_atom_site_fract_y
_atom_site_fract_z
_atom_site_occupancy
Cu1 Cu 0.373 0.876 0.876 1
Cu2 Cu 0.876 0.876 0.373 1
Cu3 Cu 0.876 0.876 0.876 1
Cu4 Cu 0.876 0.373 0.876 1
Ho1 Ho 0.250 0.250 0.250 1
Nd1 Nd 0.500 0.500 0.500 1
```

=====

#2
A plane-wave DFT calculation with PBE was carried out for a relaxed NdHoCu4 crystal.

ρ: 8.51 g cm⁻³
space-group type: Imm2

```
data_NdHoCu4
_cell_length_a 5.503
_cell_length_b 5.503
_cell_length_c 5.503
_cell_angle_alpha 134.09
_cell_angle_beta 102.24
_cell_angle_gamma 95.29
_space_group_name_H-M_alt 'P 1'
_space_group_IT_number 1
_space_group_name_Hall 'P 1'
loop_
_atom_site_label
_atom_site_type_symbol
_atom_site_fract_x
_atom_site_fract_y
_atom_site_fract_z
_atom_site_occupancy
Nd1 Nd 0.541 0.041 0.500 1
Cu1 Cu 0.962 0.664 0.298 1
Cu2 Cu 0.129 0.334 0.795 1
Cu3 Cu 0.366 0.664 0.702 1
Cu4 Cu 0.540 0.334 0.205 1
Ho1 Ho 0.963 0.963 0.000 1
```

=====

Stability summary - winner: #2; margin: 125 meV per atom.

=====

#1
A plane-wave DFT calculation with PBE was carried out for a relaxed PrHoCu2 crystal.

ρ: 8.09 g cm⁻³
space-group type: Pmn2_1

```
data_PrHoCu2
_cell_length_a 4.516
_cell_length_b 7.228
_cell_length_c 5.446
_cell_angle_alpha 90.00
_cell_angle_beta 90.00
_cell_angle_gamma 90.00
_space_group_name_H-M_alt 'P 1'
_space_group_IT_number 1
_space_group_name_Hall 'P 1'
loop_
_atom_site_label
_atom_site_type_symbol
_atom_site_fract_x
_atom_site_fract_y
_atom_site_fract_z
_atom_site_occupancy
Cu1 Cu 0.500 0.199 0.622 1
Ho1 Ho 0.000 0.933 0.634 1
Pr1 Pr 0.000 0.428 0.871 1
Pr2 Pr 0.500 0.572 0.371 1
Cu2 Cu 0.000 0.265 0.372 1
Cu3 Cu 0.000 0.801 0.122 1
Cu4 Cu 0.500 0.735 0.872 1
Ho2 Ho 0.500 0.067 0.134 1
```

=====

#2
A plane-wave DFT calculation with PBE was carried out for a relaxed PrHoCu2 crystal.

ρ: 8.23 g cm⁻³
space-group type: Pmc2_1

```
data_PrHoCu2
_cell_length_a 4.492
_cell_length_b 5.434
_cell_length_c 7.153
_cell_angle_alpha 90.00
_cell_angle_beta 90.00
_cell_angle_gamma 90.00
_space_group_name_H-M_alt 'P 1'
_space_group_IT_number 1
_space_group_name_Hall 'P 1'
loop_
_atom_site_label
_atom_site_type_symbol
_atom_site_fract_x
_atom_site_fract_y
_atom_site_fract_z
_atom_site_occupancy
Cu1 Cu 0.000 0.632 0.469 1
Pr1 Pr 0.500 0.619 0.179 1
Ho1 Ho 0.000 0.115 0.318 1
Cu2 Cu 0.500 0.119 0.035 1
Ho2 Ho 0.000 0.885 0.818 1
Pr2 Pr 0.500 0.381 0.679 1
Cu3 Cu 0.500 0.881 0.535 1
Cu4 Cu 0.000 0.368 0.969 1
```

=====

Stability summary - winner: #1; margin: 16 meV per atom.

=====

#1
A plane-wave DFT calculation with PBE was carried out for a relaxed RbHo2CuTe3S crystal.

ρ: 6.26 g cm⁻³
space-group type: Cmcm

```
data_RbHo2CuTe3S
_cell_length_a 7.779
_cell_length_b 7.779
_cell_length_c 14.874
_cell_angle_alpha 90.00
_cell_angle_beta 90.00
_cell_angle_gamma 148.19
_space_group_name_H-M_alt 'P 1'
_space_group_IT_number 1
_space_group_name_Hall 'P 1'
loop_
_atom_site_label
_atom_site_type_symbol
_atom_site_fract_x
_atom_site_fract_y
_atom_site_fract_z
_atom_site_occupancy
S1 S 0.919 0.081 0.750 1
Te1 Te 0.229 0.771 0.613 1
Te2 Te 0.500 0.500 0.000 1
Ho1 Ho 0.134 0.866 0.423 1
Cu1 Cu 0.343 0.657 0.750 1
Te3 Te 0.771 0.229 0.387 1
Te4 Te 0.771 0.229 0.113 1
Ho2 Ho 0.866 0.134 0.577 1
Cu2 Cu 0.657 0.343 0.250 1
Te5 Te 0.229 0.771 0.887 1
S2 S 0.081 0.919 0.250 1
Rb1 Rb 0.590 0.410 0.750 1
Ho3 Ho 0.134 0.866 0.077 1
Ho4 Ho 0.866 0.134 0.923 1
Rb2 Rb 0.410 0.590 0.250 1
Te6 Te 0.500 0.500 0.500 1
```

=====

#2
A plane-wave DFT calculation with PBE was carried out for a relaxed RbHo2CuTe3S crystal.

ρ: 6.18 g cm⁻³
space-group type: Cmcm

```
data_RbHo2CuTe3S
_cell_length_a 7.700
_cell_length_b 7.700
_cell_length_c 15.380
_cell_angle_alpha 90.00
_cell_angle_beta 90.00
_cell_angle_gamma 148.22
_space_group_name_H-M_alt 'P 1'
_space_group_IT_number 1
_space_group_name_Hall 'P 1'
loop_
_atom_site_label
_atom_site_type_symbol
_atom_site_fract_x
_atom_site_fract_y
_atom_site_fract_z
_atom_site_occupancy
Te1 Te 0.243 0.757 0.606 1
Ho1 Ho 0.118 0.882 0.060 1
Ho2 Ho 0.882 0.118 0.940 1
Ho3 Ho 0.118 0.882 0.440 1
Te2 Te 0.757 0.243 0.106 1
Rb1 Rb 0.374 0.626 0.250 1
Te3 Te 0.243 0.757 0.894 1
S1 S 0.500 0.500 0.000 1
Rb2 Rb 0.626 0.374 0.750 1
Te4 Te 0.942 0.058 0.750 1
Cu1 Cu 0.660 0.340 0.250 1
S2 S 0.500 0.500 0.500 1
Ho4 Ho 0.882 0.118 0.560 1
Te5 Te 0.058 0.942 0.250 1
Te6 Te 0.757 0.243 0.394 1
Cu2 Cu 0.340 0.660 0.750 1
```

=====

Stability summary - winner: #1; margin: 47 meV per atom.

=====

#1
A plane-wave DFT calculation with PBE was carried out for a relaxed Ho3Sc3CuTe2 crystal.

ρ: 7.24 g cm⁻³
space-group type: Amm2

```
data_Ho3Sc3CuTe2
_cell_length_a 3.941
_cell_length_b 7.986
_cell_length_c 7.986
_cell_angle_alpha 120.01
_cell_angle_beta 90.00
_cell_angle_gamma 90.00
_space_group_name_H-M_alt 'P 1'
_space_group_IT_number 1
_space_group_name_Hall 'P 1'
loop_
_atom_site_label
_atom_site_type_symbol
_atom_site_fract_x
_atom_site_fract_y
_atom_site_fract_z
_atom_site_occupancy
Ho1 Ho 0.000 0.000 0.394 1
Te1 Te 0.500 0.667 0.333 1
Cu1 Cu 0.000 0.001 0.001 1
Ho2 Ho 0.000 0.394 0.000 1
Sc1 Sc 0.500 0.000 0.762 1
Sc2 Sc 0.500 0.762 0.000 1
Ho3 Ho 0.000 0.605 0.605 1
Te2 Te 0.500 0.333 0.667 1
Sc3 Sc 0.500 0.238 0.238 1
```

=====

#2
A plane-wave DFT calculation with PBE was carried out for a relaxed Ho3Sc3CuTe2 crystal.

ρ: 7.19 g cm⁻³
space-group type: P-62m

```
data_Ho3Sc3CuTe2
_cell_length_a 8.171
_cell_length_b 8.171
_cell_length_c 3.786
_cell_angle_alpha 90.00
_cell_angle_beta 90.00
_cell_angle_gamma 120.00
_space_group_name_H-M_alt 'P 1'
_space_group_IT_number 1
_space_group_name_Hall 'P 1'
loop_
_atom_site_label
_atom_site_type_symbol
_atom_site_fract_x
_atom_site_fract_y
_atom_site_fract_z
_atom_site_occupancy
Ho1 Ho 0.751 0.751 0.500 1
Sc1 Sc 0.403 0.403 0.000 1
Ho2 Ho 0.249 0.000 0.500 1
Te1 Te 0.667 0.333 0.500 1
Te2 Te 0.333 0.667 0.500 1
Ho3 Ho 0.000 0.249 0.500 1
Sc2 Sc 0.597 0.000 0.000 1
Sc3 Sc 0.000 0.597 0.000 1
Cu1 Cu 0.000 0.000 0.000 1
```

=====

Stability summary - winner: #1; margin: 88 meV per atom.

=====

#1
A plane-wave DFT calculation with PBE was carried out for a relaxed YHo2Cu4Si2Sn2 crystal.

ρ: 7.85 g cm⁻³
space-group type: Immm

```
data_YHo2Cu4Si2Sn2
_cell_length_a 8.177
_cell_length_b 8.177
_cell_length_c 8.177
_cell_angle_alpha 149.46
_cell_angle_beta 132.16
_cell_angle_gamma 57.83
_space_group_name_H-M_alt 'P 1'
_space_group_IT_number 1
_space_group_name_Hall 'P 1'
loop_
_atom_site_label
_atom_site_type_symbol
_atom_site_fract_x
_atom_site_fract_y
_atom_site_fract_z
_atom_site_occupancy
Ho1 Ho 0.624 0.124 0.500 1
Cu1 Cu 0.036 0.346 0.690 1
Cu2 Cu 0.656 0.346 0.310 1
Si1 Si 0.319 0.500 0.819 1
Si2 Si 0.681 0.500 0.181 1
Y1 Y 0.000 0.000 0.000 1
Cu3 Cu 0.964 0.654 0.310 1
Sn1 Sn 0.781 0.781 0.000 1
Sn2 Sn 0.219 0.219 0.000 1
Cu4 Cu 0.344 0.654 0.690 1
Ho2 Ho 0.376 0.876 0.500 1
```

=====

#2
A plane-wave DFT calculation with PBE was carried out for a relaxed YHo2Cu4Si2Sn2 crystal.

ρ: 7.85 g cm⁻³
space-group type: Immm

```
data_YHo2Cu4Si2Sn2
_cell_length_a 8.142
_cell_length_b 8.142
_cell_length_c 8.142
_cell_angle_alpha 150.01
_cell_angle_beta 130.25
_cell_angle_gamma 59.19
_space_group_name_H-M_alt 'P 1'
_space_group_IT_number 1
_space_group_name_Hall 'P 1'
loop_
_atom_site_label
_atom_site_type_symbol
_atom_site_fract_x
_atom_site_fract_y
_atom_site_fract_z
_atom_site_occupancy
Y1 Y 0.000 0.000 0.000 1
Si1 Si 0.216 0.216 0.000 1
Cu1 Cu 0.008 0.319 0.689 1
Ho1 Ho 0.635 0.135 0.500 1
Cu2 Cu 0.631 0.319 0.311 1
Sn1 Sn 0.702 0.500 0.202 1
Cu3 Cu 0.992 0.681 0.311 1
Si2 Si 0.784 0.784 0.000 1
Ho2 Ho 0.365 0.865 0.500 1
Cu4 Cu 0.369 0.681 0.689 1
Sn2 Sn 0.298 0.500 0.798 1
```

=====

Stability summary - winner: #1; margin: 72 meV per atom.

=====

#1
A plane-wave DFT calculation with PBE was carried out for a relaxed HoCuSnTe3 crystal.

ρ: 7.06 g cm⁻³
space-group type: Pnma

```
data_HoCuSnTe3
_cell_length_a 11.151
_cell_length_b 4.258
_cell_length_c 14.454
_cell_angle_alpha 90.00
_cell_angle_beta 90.00
_cell_angle_gamma 90.00
_space_group_name_H-M_alt 'P 1'
_space_group_IT_number 1
_space_group_name_Hall 'P 1'
loop_
_atom_site_label
_atom_site_type_symbol
_atom_site_fract_x
_atom_site_fract_y
_atom_site_fract_z
_atom_site_occupancy
Te1 Te 0.268 0.750 0.164 1
Te2 Te 0.912 0.750 0.600 1
Te3 Te 0.954 0.250 0.111 1
Sn1 Sn 0.785 0.750 0.008 1
Ho1 Ho 0.524 0.750 0.242 1
Te4 Te 0.046 0.750 0.889 1
Sn2 Sn 0.285 0.750 0.492 1
Cu1 Cu 0.241 0.750 0.777 1
Ho2 Ho 0.476 0.250 0.758 1
Cu2 Cu 0.759 0.250 0.223 1
Te5 Te 0.088 0.250 0.400 1
Te6 Te 0.454 0.250 0.389 1
Ho3 Ho 0.024 0.750 0.258 1
Te7 Te 0.732 0.250 0.836 1
Cu3 Cu 0.741 0.750 0.723 1
Te8 Te 0.768 0.750 0.336 1
Te9 Te 0.588 0.250 0.100 1
Ho4 Ho 0.976 0.250 0.742 1
Sn3 Sn 0.215 0.250 0.992 1
Te10 Te 0.412 0.750 0.900 1
Cu4 Cu 0.259 0.250 0.277 1
Te11 Te 0.546 0.750 0.611 1
Te12 Te 0.232 0.250 0.664 1
Sn4 Sn 0.715 0.250 0.508 1
```

=====

#2
A plane-wave DFT calculation with PBE was carried out for a relaxed HoCuSnTe3 crystal.

ρ: 7.33 g cm⁻³
space-group type: Pnma

```
data_HoCuSnTe3
_cell_length_a 12.303
_cell_length_b 4.365
_cell_length_c 12.317
_cell_angle_alpha 90.00
_cell_angle_beta 90.00
_cell_angle_gamma 90.00
_space_group_name_H-M_alt 'P 1'
_space_group_IT_number 1
_space_group_name_Hall 'P 1'
loop_
_atom_site_label
_atom_site_type_symbol
_atom_site_fract_x
_atom_site_fract_y
_atom_site_fract_z
_atom_site_occupancy
Sn1 Sn 0.971 0.000 0.201 1
Te1 Te 0.813 0.000 0.784 1
Te2 Te 0.313 0.500 0.716 1
Te3 Te 0.631 0.500 0.533 1
Sn2 Sn 0.471 0.500 0.299 1
Ho1 Ho 0.691 0.000 0.031 1
Te4 Te 0.187 0.500 0.216 1
Te5 Te 0.561 0.500 0.900 1
Te6 Te 0.369 0.000 0.467 1
Cu1 Cu 0.298 0.000 0.268 1
Te7 Te 0.131 0.000 0.967 1
Te8 Te 0.687 0.000 0.284 1
Te9 Te 0.869 0.500 0.033 1
Te10 Te 0.061 0.000 0.600 1
Te11 Te 0.939 0.500 0.400 1
Ho2 Ho 0.191 0.500 0.469 1
Sn3 Sn 0.529 0.000 0.701 1
Ho3 Ho 0.809 0.000 0.531 1
Te12 Te 0.439 0.000 0.100 1
Ho4 Ho 0.309 0.500 0.969 1
Sn4 Sn 0.029 0.500 0.799 1
Cu2 Cu 0.702 0.500 0.732 1
Cu3 Cu 0.798 0.500 0.232 1
Cu4 Cu 0.202 0.000 0.768 1
```

=====

#3
A plane-wave DFT calculation with PBE was carried out for a relaxed HoCuSnTe3 crystal.

ρ: 6.86 g cm⁻³
space-group type: C2/m

```
data_HoCuSnTe3
_cell_length_a 10.088
_cell_length_b 10.088
_cell_length_c 8.596
_cell_angle_alpha 102.21
_cell_angle_beta 102.21
_cell_angle_gamma 24.45
_space_group_name_H-M_alt 'P 1'
_space_group_IT_number 1
_space_group_name_Hall 'P 1'
loop_
_atom_site_label
_atom_site_type_symbol
_atom_site_fract_x
_atom_site_fract_y
_atom_site_fract_z
_atom_site_occupancy
Ho1 Ho 0.159 0.159 0.083 1
Sn1 Sn 0.121 0.121 0.566 1
Te1 Te 0.000 0.000 0.000 1
Te2 Te 0.322 0.322 0.661 1
Ho2 Ho 0.841 0.841 0.917 1
Te3 Te 0.322 0.322 0.157 1
Sn2 Sn 0.879 0.879 0.434 1
Cu1 Cu 0.454 0.454 0.793 1
Cu2 Cu 0.546 0.546 0.207 1
Te4 Te 0.678 0.678 0.339 1
Te5 Te 0.678 0.678 0.843 1
Te6 Te 0.500 0.500 0.500 1
```

=====

Stability summary - winner: #1; margin: 38 meV per atom.